Record 1
8
Lattice="-5.762 5.762 3.293 5.762 -5.762 3.293 5.762 5.762 -3.293" Properties=species:S:1:pos:R:3 comment="PBE-GGA K2RbS, optimized geometry" sg="No. 122" e_tot_ev_per_atom=-2.46 pbc="T T T"
K 0.888 2.881 0.823
K -2.881 4.874 2.470
K -0.888 8.643 0.823
K 2.881 6.649 2.470
Rb 5.762 0.000 1.646
Rb 0.000 0.000 3.293
S 0.000 0.000 0.000
S 0.000 5.762 1.646

***

Record 2
9
Lattice="8.958 0.000 0.000 -4.479 7.758 0.000 0.000 0.000 3.778" Properties=species:S:1:pos:R:3 comment="PBE-GGA Pm6In2Ni, optimized geometry" sg="No. 189" delta_e_f_mev_per_atom=-300 pbc="T T T"
Pm -1.796 3.111 0.000
Pm -3.417 5.919 1.889
Pm 1.062 1.839 1.889
Pm 3.593 0.000 0.000
Pm 2.683 4.647 0.000
Pm 6.835 0.000 1.889
In 0.000 5.172 1.889
In 4.479 2.586 1.889
Ni 0.000 0.000 0.000

***

Record 3
19
Lattice="5.675 3.277 5.979 -5.675 3.277 5.979 0.000 -6.553 5.979" Properties=species:S:1:pos:R:3 comment="PBE-GGA Nd2Sm15Y2, optimized geometry" sg="No. 166" delta_e_f_mev_per_atom=255 pbc="T T T"
Nd 0.000 0.000 3.179
Nd 0.000 0.000 14.758
Sm -2.838 -1.638 5.979
Sm 0.000 -3.432 5.420
Sm -2.972 1.716 5.420
Sm -1.677 -2.905 8.968
Sm -3.354 0.000 8.968
Sm -2.972 -1.716 12.516
Sm -2.838 1.638 11.958
Sm 1.677 -2.905 8.968
Sm 0.000 3.277 5.979
Sm -1.677 2.905 8.968
Sm 2.972 1.716 5.420
Sm 3.354 0.000 8.968
Sm 1.677 2.905 8.968
Sm 2.972 -1.716 12.516
Sm 0.000 3.432 12.516
Y 0.000 0.000 7.261
Y 0.000 0.000 10.675

***

Record 4
20
Lattice="9.821 5.670 2.084 -9.821 5.670 2.084 0.000 -11.341 2.084" Properties=species:S:1:pos:R:3 comment="PBE-GGA CePr12Er7, optimized geometry" sg="No. 148" delta_e_f_mev_per_atom=236 pbc="T T T"
Ce 0.000 0.000 0.000
Pr -3.473 -1.998 1.944
Pr -8.087 0.004 3.124
Pr -4.046 -7.001 3.128
Pr 3.467 -2.008 1.944
Pr 0.006 4.007 1.944
Pr 4.040 -7.005 3.124
Pr -4.040 7.005 3.128
Pr -0.006 -4.007 4.308
Pr -3.467 2.008 4.308
Pr 4.046 7.001 3.124
Pr 8.087 -0.004 3.128
Pr 3.473 1.998 4.308
Er -0.007 -2.737 1.233
Er -2.367 1.375 1.233
Er 2.374 1.363 1.233
Er 0.000 0.000 3.126
Er -2.374 -1.363 5.019
Er 2.367 -1.375 5.019
Er 0.007 2.737 5.019

***

Record 5
6
Lattice="1.506 -6.691 0.000 1.506 6.691 0.000 0.000 0.000 4.211" Properties=species:S:1:pos:R:3 comment="PBE-GGA Zn2Ir, optimized geometry" sg="No. 63" delta_e_f_mev_per_atom=-231 pbc="T T T"
Zn 1.506 5.864 3.159
Zn 1.506 3.093 1.053
Zn 1.506 -3.093 3.159
Zn 1.506 -5.864 1.053
Ir 1.506 1.412 3.159
Ir 1.506 -1.412 1.053

***

Record 6
5
Lattice="4.639 0.000 0.000 0.000 4.639 0.000 0.000 0.000 5.864" Properties=species:S:1:pos:R:3 comment="PBE-GGA AlTeSe2S, optimized geometry" sg="No. 123" e_tot_ev_per_atom=-3.19 pbc="T T T"
Al 0.000 0.000 0.000
Te 0.000 0.000 2.932
Se 0.000 2.319 0.000
Se 2.319 0.000 0.000
S 2.319 2.319 2.932

***

Number 1: theoretical density 1.487 g cm⁻³. Number 2: theoretical density 7.324 g cm⁻³. Number 3: theoretical density 6.775 g cm⁻³. Number 4: theoretical density 7.158 g cm⁻³. Number 5: theoretical density 12.643 g cm⁻³. Number 6: theoretical density 4.535 g cm⁻³.